Entry 1:
DFT (SCAN) results for a PBEsol-optimized structure of Dy3CuGeSe7.

Cell: 5.9520 10.1830 10.1830 Å, 120.00 90.00 90.00°
Closest atoms and distances in Å follow each position.
Atoms (fractional coordinates):
Se: 0.0517 0.8379 0.1010  1 Cu 2.34
Se: 0.5517 0.1621 0.8990  1 Cu 2.34
Se: 0.5517 0.1010 0.2630  1 Cu 2.34
Se: 0.3270 0.5750 0.4844  1 Ge 2.38
Se: 0.3270 0.5156 0.0906  1 Ge 2.38
Se: 0.5517 0.7370 0.8379  1 Cu 2.34
Se: 0.0517 0.2630 0.1621  1 Cu 2.34
Se: 0.8270 0.4250 0.5156  1 Ge 2.38
Se: 0.0517 0.8990 0.7370  1 Cu 2.34
Se: 0.8270 0.0906 0.5750  1 Ge 2.38
Se: 0.7677 0.6667 0.3333  1 Ge 2.33
Se: 0.2677 0.3333 0.6667  1 Ge 2.33
Se: 0.3270 0.9094 0.4250  1 Ge 2.38
Se: 0.8270 0.4844 0.9094  1 Ge 2.38
Dy: 0.5766 0.8665 0.6445  7 Se 2.83-3.09
Dy: 0.0766 0.6445 0.7780  7 Se 2.83-3.09
Dy: 0.0766 0.1335 0.3555  7 Se 2.83-3.09
Dy: 0.0766 0.2220 0.8665  7 Se 2.83-3.09
Dy: 0.5766 0.3555 0.2220  7 Se 2.83-3.09
Dy: 0.5766 0.7780 0.1335  7 Se 2.83-3.09
Ge: 0.6593 0.3333 0.6667  4 Se 2.33-2.38
Ge: 0.1593 0.6667 0.3333  4 Se 2.33-2.38
Cu: 0.5357 0.0000 0.0000  3 Se 2.34
Cu: 0.0357 0.0000 0.0000  3 Se 2.34

Final energy: -1.0266 Ha/atom
ΔE_f (raw): -1416 meV/atom
M_tot: 0.000 μB/atom
Space-group type: P6_3
Mass density: 7.31 Mg/m³

Entry 2:
DFT (SCAN) results for a PBEsol-optimized structure of DyInCu4.

Cell: 5.0274 5.0274 5.0274 Å, 60.00 60.00 60.00°
Closest atoms and distances in Å follow each position.
Atoms (fractional coordinates):
Cu: 0.8747 0.8747 0.8747  6 Cu 2.51-2.52
Cu: 0.8747 0.3760 0.8747  6 Cu 2.51-2.52
Cu: 0.8747 0.8747 0.3760  6 Cu 2.51-2.52
Cu: 0.3760 0.8747 0.8747  6 Cu 2.51-2.52
Dy: 0.2500 0.2500 0.2500  12 Cu 2.95, 4 In 3.08
In: 0.5000 0.5000 0.5000  12 Cu 2.95, 4 Dy 3.08

Final energy: -0.8817 Ha/atom
Calculated formation energy: -1.97 eV per formula unit
M_tot: 0.000 μB/atom
Space-group type: F-43m
Mass density: 9.82 Mg/m³

Entry 3:
DFT (SCAN) results for a PBEsol-optimized structure of Dy2In3Cu.

Cell: 4.6439 4.6439 7.3202 Å, 90.00 90.00 120.00°
Closest atoms and distances in Å follow each position.
Atoms (fractional coordinates):
Dy: 0.6667 0.3333 0.2627  6 In 3.10-3.13, 1 Dy 3.38, 3 Cu 3.39
Dy: 0.6667 0.3333 0.7238  3 Cu 2.98, 6 In 3.09-3.21
In: 0.3333 0.6667 0.4825  3 Cu 2.72
In: 0.3333 0.6667 0.0507  3 In 2.81, 3 Dy 3.10
In: 0.0000 0.0000 0.9345  3 In 2.81, 1 Cu 2.85, 3 Dy 3.09
Cu: 0.0000 0.0000 0.5458  4 In 2.72-2.85, 3 Dy 2.98

Final energy: -1.3127 Ha/atom
Calculated formation energy: -3.36 eV per formula unit
M_tot: 0.000 μB/atom
Space-group type: P3m1
Mass density: 8.90 Mg/m³

Entry 4:
DFT (SCAN) results for a PBEsol-optimized structure of Dy2CuIr.

Cell: 4.7865 4.7865 4.7865 Å, 60.00 60.00 60.00°
Closest atoms and distances in Å follow each position.
Atoms (fractional coordinates):
Cu: 0.5000 0.5000 0.5000  8 Dy 2.93
Dy: 0.7500 0.7500 0.7500  4 Ir 2.93, 4 Cu 2.93
Dy: 0.2500 0.2500 0.2500  4 Cu 2.93, 4 Ir 2.93
Ir: 0.0000 0.0000 0.0000  8 Dy 2.93

Final energy: -1.6980 Ha/atom
Calculated formation energy: -2.92 eV per formula unit
M_tot: 0.000 μB/atom
Space-group type: Fm-3m
Mass density: 12.44 Mg/m³

Entry 5:
DFT (SCAN) results for a PBEsol-optimized structure of K2Dy4Cu4Se9.

Cell: 4.0435 7.3167 15.5280 Å, 81.91 82.52 73.96°
Closest atoms and distances in Å follow each position.
Atoms (fractional coordinates):
Se: 0.6056 0.9194 0.8693  3 Cu 2.45-2.57
Se: 0.3025 0.0004 0.3946  1 Cu 2.44
Se: 0.1337 0.6539 0.0786  2 Cu 2.42
Se: 0.3944 0.0806 0.1307  3 Cu 2.45-2.57
Se: 0.6975 0.9996 0.6054  1 Cu 2.44
Se: 0.0000 0.5000 0.5000  4 Dy 2.89
Se: 0.3565 0.5637 0.7232  2 Cu 2.42
Se: 0.8663 0.3461 0.9214  2 Cu 2.42
Se: 0.6435 0.4363 0.2768  2 Cu 2.42
Cu: 0.2406 0.2482 0.2706  4 Se 2.42-2.57
Cu: 0.4228 0.1814 0.9730  4 Se 2.42-2.57, 1 Cu 2.60
Cu: 0.5772 0.8186 0.0270  4 Se 2.42-2.57, 1 Cu 2.60
Cu: 0.7594 0.7518 0.7294  4 Se 2.42-2.57
Dy: 0.3448 0.7541 0.5562  6 Se 2.76-2.89
Dy: 0.6552 0.2459 0.4438  6 Se 2.76-2.89
Dy: 0.2317 0.6396 0.8970  6 Se 2.79-2.88
Dy: 0.7683 0.3604 0.1030  6 Se 2.79-2.88
K: 0.9671 0.7961 0.2698  7 Se 3.21-3.42
K: 0.0329 0.2039 0.7302  7 Se 3.21-3.42

Final energy: -0.9224 Ha/atom
ΔE_f (raw): -1450 meV/atom
M_tot: 0.000 μB/atom
Space-group type: C2/m
Mass density: 6.46 Mg/m³

Entry 6:
DFT (SCAN) results for a PBEsol-optimized structure of DyMg2Cu9.

Cell: 4.9135 4.9135 15.9087 Å, 90.00 90.00 120.00°
Closest atoms and distances in Å follow each position.
Atoms (fractional coordinates):
Mg: 0.6667 0.3333 0.4671  12 Cu 2.85-2.88, 3 Mg 3.02
Mg: 0.3333 0.6667 0.9671  12 Cu 2.85-2.88, 3 Mg 3.02
Mg: 0.3333 0.6667 0.5329  12 Cu 2.85-2.88, 3 Mg 3.02
Mg: 0.6667 0.3333 0.0329  12 Cu 2.85-2.88, 3 Mg 3.02
Cu: 0.1679 0.3358 0.3765  7 Cu 2.43-2.47
Cu: 0.1679 0.8321 0.1235  7 Cu 2.43-2.47
Cu: 0.6667 0.3333 0.7500  6 Cu 2.46
Cu: 0.0000 0.0000 0.2500  6 Cu 2.47
Cu: 0.6642 0.8321 0.1235  7 Cu 2.43-2.47
Cu: 0.0000 0.0000 0.5000  6 Cu 2.43
Cu: 0.3358 0.1679 0.8765  7 Cu 2.43-2.47
Cu: 0.1679 0.3358 0.1235  7 Cu 2.43-2.47
Cu: 0.8321 0.1679 0.6235  7 Cu 2.43-2.47
Cu: 0.8321 0.6642 0.6235  7 Cu 2.43-2.47
Cu: 0.3358 0.1679 0.6235  7 Cu 2.43-2.47
Cu: 0.0000 0.0000 0.0000  6 Cu 2.43
Cu: 0.0000 0.0000 0.7500  6 Cu 2.47
Cu: 0.3333 0.6667 0.2500  6 Cu 2.46
Cu: 0.8321 0.1679 0.8765  7 Cu 2.43-2.47
Cu: 0.1679 0.8321 0.3765  7 Cu 2.43-2.47
Cu: 0.8321 0.6642 0.8765  7 Cu 2.43-2.47
Cu: 0.6642 0.8321 0.3765  7 Cu 2.43-2.47
Dy: 0.6667 0.3333 0.2500  18 Cu 2.84-3.18
Dy: 0.3333 0.6667 0.7500  18 Cu 2.84-3.18

Final energy: -0.6034 Ha/atom
Calculated formation energy: -2.49 eV per formula unit
M_tot: 0.000 μB/atom
Space-group type: P6_3/mmc
Mass density: 7.82 Mg/m³

Entry 7:
DFT (SCAN) results for a PBEsol-optimized structure of DyMn4Cu3O12.

Cell: 6.2081 6.2081 6.2081 Å, 109.47 109.47 109.47°
Closest atoms and distances in Å follow each position.
Atoms (fractional coordinates):
Mn: 0.5000 0.5000 0.5000  6 O 1.90
Mn: 0.0000 0.0000 0.5000  6 O 1.90
Mn: 0.5000 0.0000 0.0000  6 O 1.90
Mn: 0.0000 0.5000 0.0000  6 O 1.90
O: 0.8231 0.1211 0.2980  2 Mn 1.90, 1 Cu 1.92
O: 0.2980 0.1769 0.4749  2 Mn 1.90, 1 Cu 1.92
O: 0.8231 0.5251 0.7020  2 Mn 1.90, 1 Cu 1.92
O: 0.4749 0.2980 0.1769  2 Mn 1.90, 1 Cu 1.92
O: 0.7020 0.1769 0.8789  2 Mn 1.90, 1 Cu 1.92
O: 0.8789 0.7020 0.1769  2 Mn 1.90, 1 Cu 1.92
O: 0.1769 0.8789 0.7020  2 Mn 1.90, 1 Cu 1.92
O: 0.5251 0.7020 0.8231  2 Mn 1.90, 1 Cu 1.92
O: 0.1211 0.2980 0.8231  2 Mn 1.90, 1 Cu 1.92
O: 0.2980 0.8231 0.1211  2 Mn 1.90, 1 Cu 1.92
O: 0.1769 0.4749 0.2980  2 Mn 1.90, 1 Cu 1.92
O: 0.7020 0.8231 0.5251  2 Mn 1.90, 1 Cu 1.92
Cu: 0.5000 0.0000 0.5000  4 O 1.92
Cu: 0.0000 0.5000 0.5000  4 O 1.92
Cu: 0.5000 0.5000 0.0000  4 O 1.92
Dy: 0.0000 0.0000 0.0000  12 O 2.48

Final energy: -0.5170 Ha/atom
ΔE_f (raw): -2009 meV/atom
M_tot: 0.501 μB/atom
Space-group type: Im-3
Mass density: 6.90 Mg/m³

Entry 8:
DFT (SCAN) results for a PBEsol-optimized structure of Dy2Mn3Cu9P7.

Cell: 3.6798 9.3269 9.3269 Å, 120.00 90.00 90.00°
Closest atoms and distances in Å follow each position.
Atoms (fractional coordinates):
P: 0.0000 0.3880 0.4641  5 Cu 2.28-2.39
P: 0.5000 0.2523 0.0416  6 Cu 2.34-2.40, 1 Mn 2.36
P: 0.5000 0.9584 0.2107  6 Cu 2.34-2.40, 1 Mn 2.36
P: 0.0000 0.5359 0.9238  5 Cu 2.28-2.39
P: 0.5000 0.7893 0.7477  6 Cu 2.34-2.40, 1 Mn 2.36
P: 0.0000 0.6667 0.3333  3 Cu 2.26
P: 0.0000 0.0762 0.6120  5 Cu 2.28-2.39
Cu: 0.5000 0.0519 0.7597  4 P 2.34-2.40, 4 Cu 2.59-2.61
Cu: 0.0000 0.8295 0.6122  4 P 2.26-2.37
Cu: 0.5000 0.7078 0.9481  4 P 2.34-2.40, 4 Cu 2.59-2.61
Cu: 0.0000 0.7827 0.1705  4 P 2.26-2.37
Cu: 0.0000 0.1005 0.3802  4 P 2.28-2.39
Cu: 0.0000 0.6198 0.7203  4 P 2.28-2.39
Cu: 0.5000 0.2403 0.2922  4 P 2.34-2.40, 4 Cu 2.59-2.61
Cu: 0.0000 0.2797 0.8995  4 P 2.28-2.39
Cu: 0.0000 0.3878 0.2173  4 P 2.26-2.37
Mn: 0.5000 0.5334 0.1147  5 P 2.36-2.57
Mn: 0.5000 0.5813 0.4666  5 P 2.36-2.57
Mn: 0.5000 0.8853 0.4187  5 P 2.36-2.57
Dy: 0.0000 0.0000 0.0000  6 P 2.86, 12 Cu 3.12-3.18
Dy: 0.5000 0.3333 0.6667  6 P 2.86, 9 Cu 3.07-3.15

Final energy: -0.6497 Ha/atom
Calculated formation energy: -11.29 eV per formula unit
M_tot: 0.569 μB/atom
Space-group type: P-6
Mass density: 7.66 Mg/m³